The following is a DFT calculation (PBE-GGA) of a relaxed NdAlZnPd3 crystal.

The crystal system is orthorhombic. For the formation energy, the calculation gives -559 meV/atom.

The space group is Cmcm (No. 63) and the conventional cell measures 6.728, 12.018 and 5.804 Å, with angles of 90.00, 90.00 and 90.00 degrees. Symmetry generates all atoms from Nd at (0.000, 0.208, 0.250), Al at (0.000, 0.125, 0.750), Zn at (0.000, 0.456, 0.250), Pd at (0.000, 0.328, 0.750) and Pd at (0.208, 0.000, 0.000).